VASP calculation (PBE) on a relaxed Zr2Cd2Pd3 crystal.

```
Zr2Cd2Pd3
1.0
4.0911 -2.3520 0.0000
4.0911 2.3520 0.0000
-2.7606 0.0000 7.1726
Zr Cd Pd
2 2 3
direct
0.1135 0.1135 0.3398
0.8865 0.8865 0.6602
0.3682 0.3682 0.1046
0.6318 0.6318 0.8954
0.2388 0.2388 0.7166
0.5000 0.5000 0.5000
0.7612 0.7612 0.2834
```

- DFT total energy: -5.437 eV/atom
- Density: 8.74 g/cm³